DFT (GGA+U) results for an optimized crystal structure of PaFe2BO6.

The size of the total moment is 0.805 μB/atom. The calculation puts the theoretical density at 5.88 g/cm³. Its calculated total energy is -7.5677 eV per atom. Its space group is No. 99.

a b c (Å): 4.6293 5.2348 5.2348
angles (deg): 90.00 90.00 90.00
Atoms (fractional coordinates):
O 0.2982 0.0000 0.0000
O 0.7290 0.2229 0.7771
O 0.7290 0.2229 0.2229
O 0.1362 0.5000 0.5000
O 0.7290 0.7771 0.7771
O 0.7290 0.7771 0.2229
B 0.5902 0.0000 0.0000
Fe 0.9572 0.5000 0.0000
Fe 0.9572 0.0000 0.5000
Pa 0.5918 0.5000 0.5000